A relaxed Pm6GeTe3P2 crystal. Source: Alexandria, functional PBE.

Properties
For the total energy, the calculation gives -5.91 eV per atom. As for the raw formation energy: -1463 meV/atom. For the spin magnetization, the calculation gives 0.00 μB per atom.

Cell lengths 19.0589, 4.2728, 8.7778 Å; angles 90.00, 105.51, 90.00 degrees
With the nearest neighbours (Å) after each atom.
Space group C2/m (No. 12)
Unique sites:
Pm  0.0079  0.0000  0.2359  1 P 2.93, 2 Ge 2.95, 3 Te 3.19-3.22
Pm  0.1607  0.5000  0.1044  2 P 2.92, 1 Ge 2.95, 3 Te 3.19-3.23
Pm  0.1749  0.5000  0.5638  3 P 2.89-2.91, 3 Te 3.22-3.23
Ge  0.0000  0.5000  0.0000  6 Pm 2.95
Te  0.0000  0.5000  0.5000  6 Pm 3.19-3.23
Te  0.1665  0.0000  0.8325  6 Pm 3.19-3.23
P  0.1676  0.0000  0.3350  6 Pm 2.89-2.93

A relaxed Hg2PtBr crystal. Source: Alexandria, functional PBE.

Properties
For the total energy, the calculation gives -1.90 eV per atom. As for the raw formation energy: 181 meV/atom. The energy relative to the lowest polymorph listed for this composition comes out at 0.185 eV/atom. For the spin magnetization, the calculation gives 0.00 μB per atom.

Cell lengths 3.0983, 4.5916, 13.2986 Å; angles 90.00, 90.00, 90.00 degrees
With the nearest neighbours (Å) after each atom.
Space group Immm (No. 71)
Unique sites:
Hg  0.0000  0.0000  0.1917  2 Pt 2.98, 6 Hg 3.10-3.17
Pt  0.0000  0.5000  0.5000  4 Br 2.77, 4 Hg 2.98, 2 Pt 3.10
Br  0.0000  0.5000  0.0000  4 Pt 2.77, 2 Br 3.10

A relaxed Pr7Dy4Th crystal. Source: Alexandria, functional PBE.

Properties
For the total energy, the calculation gives -4.91 eV per atom. The formation energy is 0.031 eV per atom. For the spin magnetization, the calculation gives 0.00 μB per atom.

Cell lengths 6.3281, 7.2936, 9.6479 Å; angles 101.12, 109.07, 90.02 degrees
With the nearest neighbours (Å) after each atom.
Space group P-1 (No. 2)
Unique sites:
Pr  0.0000  0.0000  0.0000  8 Pr 3.64-3.69, 2 Th 3.65, 2 Dy 3.65
Pr  0.1648  0.9155  0.6632  6 Pr 3.60-3.71, 6 Dy 3.61-3.67
Pr  0.3287  0.3372  0.3321  6 Dy 3.59-3.70, 1 Th 3.62, 5 Pr 3.64-3.69
Pr  0.4989  0.7424  0.0010  7 Pr 3.53-3.76, 2 Th 3.61-3.63, 3 Dy 3.62
Dy  0.1618  0.4164  0.6685  8 Pr 3.59-3.69, 3 Dy 3.60-3.67, 1 Th 3.61
Dy  0.3319  0.8292  0.3315  8 Pr 3.59-3.70, 3 Dy 3.60-3.70, 1 Th 3.61
Th  0.0000  0.5000  0.0000  4 Dy 3.61, 8 Pr 3.61-3.65

| no. | ρ (g cm⁻³) |
| --- | --- |
| 1 | 6.69 |
| 2 | 11.87 |
| 3 | 7.53 |